## w
This record from the Alexandria database describes a relaxed structure of KNaHg2Bi. The functional is PBE.

The structure in POSCAR format:
```
KNaHg2Bi
1.0
-2.496 2.592 6.508
2.496 -2.592 6.508
2.496 2.592 -6.508
K Na Hg Bi
1 1 2 1
direct
0.000 0.000 0.000
0.238 0.738 0.500
0.379 0.379 0.000
0.748 0.248 0.500
0.608 0.608 0.000
```

Values from the calculation:
DOS(E_F) ... 0.27 states/eV per atom
Space group ... Imm2
Density ... 6630 kg/m³

---

## x
This record from the Alexandria database describes a relaxed structure of KNaHg2Bi. The functional is PBE.

The structure in POSCAR format:
```
KNaHg2Bi
1.0
6.018 0.000 0.000
0.000 6.018 0.000
0.000 0.000 5.858
K Na Hg Bi
1 1 2 1
direct
0.000 0.000 0.000
0.500 0.500 0.000
0.000 0.500 0.500
0.500 0.000 0.500
0.500 0.500 0.500
```

Values from the calculation:
DOS(E_F) ... 0.39 states/eV per atom
Space group ... P4/mmm
Density ... 5262 kg/m³

---

Which one is most stable, and which one is least stable? w is the most stable of them, while x is the least stable.

---

## w
This record from the Alexandria database describes a relaxed structure of KNaHgBi. The functional is PBE.

The structure in POSCAR format:
```
KNaHgBi
1.0
0.000 3.963 3.963
3.963 0.000 3.963
3.963 3.963 0.000
K Na Hg Bi
1 1 1 1
direct
0.000 0.000 0.000
0.750 0.750 0.750
0.250 0.250 0.250
0.500 0.500 0.500
```

Values from the calculation:
DOS(E_F) ... 0.94 states/eV per atom
Space group ... F-43m
Density ... 6294 kg/m³

---

## x
This record from the Alexandria database describes a relaxed structure of KNaHgBi. The functional is PBE.

The structure in POSCAR format:
```
KNaHgBi
1.0
5.408 0.000 0.000
0.000 4.418 0.000
-1.732 0.000 5.530
K Na Hg Bi
1 1 1 1
direct
0.000 0.000 0.000
0.498 0.000 0.502
0.500 0.500 0.000
0.997 0.500 0.500
```

Values from the calculation:
DOS(E_F) ... 0.51 states/eV per atom
Space group ... Pm
Density ... 5928 kg/m³

---

Which one is most stable, and which one is least stable? w is the most stable of them, while x is the least stable.

---

## w
This record from the Alexandria database describes a relaxed structure of KRbHg2Bi. The functional is PBE.

The structure in POSCAR format:
```
KRbHg2Bi
1.0
6.084 0.000 0.000
0.000 6.084 0.000
0.000 0.000 6.553
K Rb Hg Bi
1 1 2 1
direct
0.000 0.000 0.000
0.500 0.500 0.000
0.000 0.500 0.500
0.500 0.000 0.500
0.000 0.000 0.500
```

Values from the calculation:
DOS(E_F) ... 0.45 states/eV per atom
Space group ... P4/mmm
Density ... 5030 kg/m³

---

## x
This record from the Alexandria database describes a relaxed structure of KRbHg2Bi. The functional is PBE.

The structure in POSCAR format:
```
KRbHg2Bi
1.0
-2.541 2.782 7.294
2.541 -2.782 7.294
2.541 2.782 -7.294
K Rb Hg Bi
1 1 2 1
direct
0.000 0.000 0.000
0.757 0.257 0.500
0.152 0.652 0.500
0.481 0.481 0.000
0.358 0.858 0.500
```

Values from the calculation:
DOS(E_F) ... 0.49 states/eV per atom
Space group ... Imm2
Density ... 5914 kg/m³

---

Which one is most stable, and which one is least stable? x is the most stable of them, while w is the least stable.

---

## w
This record from the Alexandria database describes a relaxed structure of KRbHgBi. The functional is PBE.

The structure in POSCAR format:
```
KRbHgBi
1.0
5.645 0.000 0.000
0.000 2.047 7.069
0.000 -2.047 7.069
K Rb Hg Bi
1 1 1 1
direct
0.000 0.000 0.000
0.500 0.696 0.696
0.000 0.281 0.281
0.500 0.422 0.422
```

Values from the calculation:
DOS(E_F) ... 0.88 states/eV per atom
Space group ... Amm2
Density ... 5428 kg/m³

---

## x
This record from the Alexandria database describes a relaxed structure of KRbHgBi. The functional is PBE.

The structure in POSCAR format:
```
KRbHgBi
1.0
0.000 4.179 4.179
4.179 0.000 4.179
4.179 4.179 0.000
K Rb Hg Bi
1 1 1 1
direct
0.000 0.000 0.000
0.250 0.250 0.250
0.500 0.500 0.500
0.750 0.750 0.750
```

Values from the calculation:
DOS(E_F) ... 0.73 states/eV per atom
Space group ... F-43m
Density ... 6076 kg/m³

---

Which one is most stable, and which one is least stable? w is the most stable of them, while x is the least stable.

---

## w
This record from the Alexandria database describes a relaxed structure of K2RbHgBi. The functional is PBE.

The structure in POSCAR format:
```
K2RbHgBi
1.0
6.943 0.000 0.000
0.000 6.943 0.000
0.000 0.000 6.056
K Rb Hg Bi
2 1 1 1
direct
0.000 0.500 0.000
0.500 0.000 0.000
0.000 0.000 0.500
0.500 0.500 0.500
0.500 0.500 0.000
```

Values from the calculation:
DOS(E_F) ... 0.69 states/eV per atom
Space group ... P4/mmm
Density ... 3260 kg/m³

---

## x
This record from the Alexandria database describes a relaxed structure of K2RbHgBi. The functional is PBE.

The structure in POSCAR format:
```
K2RbHgBi
1.0
6.888 0.000 0.000
0.000 6.888 0.000
0.000 0.000 7.222
K Rb Hg Bi
2 1 1 1
direct
0.000 0.500 0.000
0.500 0.000 0.000
0.000 0.000 0.500
0.500 0.500 0.500
0.000 0.000 0.000
```

Values from the calculation:
DOS(E_F) ... 0.55 states/eV per atom
Space group ... P4/mmm
Density ... 2778 kg/m³

---

Which one is most stable, and which one is least stable? x is the most stable of them, while w is the least stable.

---

## w
This record from the Alexandria database describes a relaxed structure of KTlHg2Bi. The functional is PBE.

The structure in POSCAR format:
```
KTlHg2Bi
1.0
-2.476 2.648 6.538
2.476 -2.648 6.538
2.476 2.648 -6.538
K Tl Hg Bi
1 1 2 1
direct
0.000 0.000 0.000
0.241 0.741 0.500
0.619 0.619 0.000
0.754 0.254 0.500
0.393 0.393 0.000
```

Values from the calculation:
DOS(E_F) ... 0.25 states/eV per atom
Space group ... Imm2
Density ... 8269 kg/m³

---

## x
This record from the Alexandria database describes a relaxed structure of KTlHg2Bi. The functional is PBE.

The structure in POSCAR format:
```
KTlHg2Bi
1.0
6.097 0.000 0.000
0.000 6.097 0.000
0.000 0.000 6.625
K Tl Hg Bi
1 1 2 1
direct
0.000 0.000 0.000
0.500 0.500 0.500
0.000 0.500 0.000
0.500 0.000 0.000
0.000 0.000 0.500
```

Values from the calculation:
DOS(E_F) ... 0.88 states/eV per atom
Space group ... P4/mmm
Density ... 5756 kg/m³

---

Which one is most stable, and which one is least stable? w is the most stable of them, while x is the least stable.